[1]
AcTlSbI | PBE | optimized geometry

Cell lengths 5.7989, 5.7989, 5.7989 Å; angles 60.00, 60.00, 60.00 degrees
Sites, in units of the cell vectors:
Ac (0.0000, 0.0000, 0.0000)
Tl (0.5000, 0.5000, 0.5000)
Sb (0.2500, 0.2500, 0.2500)
I (0.7500, 0.7500, 0.7500)

Results
formation energy (no corrections) = -17.23 kcal/mol of atoms
SG = F-43m, No. 216

=====

[2]
Ac4PmNd3 | PBE | optimized geometry

Cell lengths 10.9707, 7.6148, 7.6138 Å; angles 90.00, 90.00, 90.00 degrees
Sites, in units of the cell vectors:
Ac (0.0000, 0.0011, 0.0000)
Ac (0.0000, 0.4992, 0.4977)
Ac (0.2484, 0.7505, 0.7489)
Ac (0.2516, 0.2495, 0.2489)
Ac (0.5000, 0.5008, 0.9977)
Ac (0.5000, 0.9989, 0.5000)
Ac (0.7484, 0.2495, 0.2489)
Ac (0.7516, 0.7505, 0.7489)
Pm (0.0000, 0.0005, 0.4983)
Pm (0.5000, 0.9995, 0.9983)
Nd (0.0000, 0.4996, 0.9994)
Nd (0.2498, 0.2499, 0.7489)
Nd (0.2502, 0.7501, 0.2489)
Nd (0.5000, 0.5004, 0.4994)
Nd (0.7502, 0.2499, 0.7489)
Nd (0.7498, 0.7501, 0.2489)

Results
SG = Pmn2_1, No. 31
DOS at the Fermi energy = 1.826 states/eV per atom
ΔH_f (0 K) = 0.034 eV per atom

=====

[3]
Ac2Cu4Si3Sn | PBE | optimized geometry

Cell lengths 4.3233, 4.3233, 10.3954 Å; angles 90.00, 90.00, 90.00 degrees
Sites, in units of the cell vectors:
Ac (0.0000, 0.5000, 0.2345)
Ac (0.5000, 0.0000, 0.7655)
Cu (0.0000, 0.0000, 0.0000)
Cu (0.0000, 0.5000, 0.6443)
Cu (0.5000, 0.0000, 0.3557)
Cu (0.5000, 0.5000, 0.0000)
Si (0.0000, 0.5000, 0.8801)
Si (0.5000, 0.0000, 0.1199)
Si (0.5000, 0.5000, 0.5000)
Sn (0.0000, 0.0000, 0.5000)

Results
formation energy (no corrections) = -10.14 kcal/mol of atoms
SG = P-4m2, No. 115
DOS at the Fermi energy = 0.406 states/eV per atom

=====

[4]
TmPaIn2 | PBE | optimized geometry

Cell lengths 5.3004, 5.3004, 5.3004 Å; angles 60.00, 60.00, 60.00 degrees
Sites, in units of the cell vectors:
Tm (0.0000, 0.0000, 0.0000)
Pa (0.5000, 0.5000, 0.5000)
In (0.2500, 0.2500, 0.2500)
In (0.7500, 0.7500, 0.7500)

Results
SG = Fm-3m, No. 225
DOS at the Fermi energy = 2.124 states/eV per atom
ΔH_f (0 K) = -0.071 eV per atom

=====

[5]
Ti2Re2Tc | PBE | optimized geometry

Cell lengths 8.5026, 8.5026, 3.0444 Å; angles 90.00, 90.00, 158.97 degrees
Sites, in units of the cell vectors:
Ti (0.0923, 0.9077, 0.0000)
Ti (0.9077, 0.0923, 0.0000)
Re (0.3078, 0.6922, 0.5000)
Re (0.6922, 0.3078, 0.5000)
Tc (0.5000, 0.5000, 0.5000)

Results
SG = Cmmm, No. 65
DOS at the Fermi energy = 1.109 states/eV per atom
ΔH_f (0 K) = -0.010 eV per atom

=====

[6]
Li4BeP | PBE | optimized geometry

Cell lengths 4.9048, 4.9048, 4.9048 Å; angles 60.00, 60.00, 60.00 degrees
Sites, in units of the cell vectors:
Li (0.1246, 0.1246, 0.1246)
Li (0.1246, 0.1246, 0.6263)
Li (0.1246, 0.6263, 0.1246)
Li (0.6263, 0.1246, 0.1246)
Be (0.5000, 0.5000, 0.5000)
P (0.7500, 0.7500, 0.7500)

Results
SG = F-43m, No. 216
DOS at the Fermi energy = 0.620 states/eV per atom
ΔH_f (0 K) = 0.278 eV per atom

=====

[7]
RbCaTa | PBE | optimized geometry

Cell lengths 4.5927, 4.5927, 15.0601 Å; angles 90.40, 90.40, 60.02 degrees
Sites, in units of the cell vectors:
Rb (0.1715, 0.1715, 0.3576)
Rb (0.8285, 0.8285, 0.6424)
Ca (0.4980, 0.4980, 0.8725)
Ca (0.5020, 0.5020, 0.1275)
Ta (0.1667, 0.1667, 0.9999)
Ta (0.8333, 0.8333, 0.0001)

Results
SG = C2/m, No. 12
DOS at the Fermi energy = 0.868 states/eV per atom
ΔH_f (0 K) = 0.523 eV per atom

=====

[8]
KCu2Os | PBE | optimized geometry

Cell lengths 6.2675, 6.2675, 6.2675 Å; angles 156.33, 125.28, 60.43 degrees
Sites, in units of the cell vectors:
K (0.0000, 0.0000, 0.0000)
Cu (0.2977, 0.7977, 0.5000)
Cu (0.7023, 0.2023, 0.5000)
Os (0.5000, 0.5000, 0.0000)

Results
SG = Immm, No. 71
DOS at the Fermi energy = 0.659 states/eV per atom
ΔH_f (0 K) = 0.981 eV per atom

=====

Repeat the eighth record exactly.
KCu2Os | PBE | optimized geometry

Cell lengths 6.2675, 6.2675, 6.2675 Å; angles 156.33, 125.28, 60.43 degrees
Sites, in units of the cell vectors:
K (0.0000, 0.0000, 0.0000)
Cu (0.2977, 0.7977, 0.5000)
Cu (0.7023, 0.2023, 0.5000)
Os (0.5000, 0.5000, 0.0000)

Results
SG = Immm, No. 71
DOS at the Fermi energy = 0.659 states/eV per atom
ΔH_f (0 K) = 0.981 eV per atom

=====

Copy entry 5 word for word.
Ti2Re2Tc | PBE | optimized geometry

Cell lengths 8.5026, 8.5026, 3.0444 Å; angles 90.00, 90.00, 158.97 degrees
Sites, in units of the cell vectors:
Ti (0.0923, 0.9077, 0.0000)
Ti (0.9077, 0.0923, 0.0000)
Re (0.3078, 0.6922, 0.5000)
Re (0.6922, 0.3078, 0.5000)
Tc (0.5000, 0.5000, 0.5000)

Results
SG = Cmmm, No. 65
DOS at the Fermi energy = 1.109 states/eV per atom
ΔH_f (0 K) = -0.010 eV per atom